# 1
A relaxed Pr2Sm12Y5 crystal. Source: the Alexandria database, functional PBE-GGA.

Values from the calculation:
For the formation energy, the calculation gives 0.13 eV/atom. Its energy above the most stable polymorph in this dataset is 0.305 eV per formula unit.

Cell: 16.009 9.305 8.742 Å, 90.00 91.40 90.00°
Space group C2/m (No. 12)
Unique sites:
Pr 0.000 0.177 0.000 [4 per cell]
Sm 0.061 0.000 0.340 [4 per cell]
Sm 0.087 0.500 0.883 [4 per cell]
Sm 0.127 0.194 0.666 [8 per cell]
Sm 0.153 0.319 0.240 [8 per cell]
Y 0.000 0.500 0.500 [2 per cell]
Y 0.202 0.000 0.020 [4 per cell]
Y 0.232 0.500 0.570 [4 per cell]

***

# 2
A relaxed Na2TlPt crystal. Source: the Alexandria database, functional PBE-GGA.

Values from the calculation:
For the formation energy, the calculation gives -0.13 eV/atom.

Cell: 4.172 4.999 5.151 Å, 111.85 113.88 90.11°
Space group P1 (No. 1)
Unique sites:
Na 0.000 0.000 0.000 [1 per cell]
Na 0.234 0.748 0.465 [1 per cell]
Tl 0.766 0.311 0.529 [1 per cell]
Pt 0.484 0.432 0.968 [1 per cell]

***

# 3
A relaxed TcNi2S crystal. Source: the Alexandria database, functional PBE-GGA.

Values from the calculation:
For the uncorrected formation energy, the calculation gives -0.24 eV per formula unit.

Cell: 9.493 3.577 7.004 Å, 90.00 121.46 90.00°
Space group C2/m (No. 12)
Unique sites:
Tc 0.217 0.000 0.136 [4 per cell]
Ni 0.021 0.500 0.191 [4 per cell]
Ni 0.166 0.000 0.502 [4 per cell]
S 0.094 0.000 0.752 [4 per cell]